Computed, not measured: Tl3Re5 after structural relaxation at the GGA-PBE level of DFT.

Computed properties:
The calculation puts the relative energy among the computed polymorphs at 498 meV/atom. The formation energy comes out at 1.09 eV per atom. The calculation puts the total energy at -7.58 eV per atom. Its symmetry is Cmmm.

Cell lengths 6.916, 6.916, 3.004 Å; angles 90.00, 90.00, 92.96 degrees
Positions (direct):
Tl 0.500 0.500 0.000
Tl 0.760 0.240 0.500
Tl 0.240 0.760 0.500
Re 0.227 0.227 0.500
Re 0.000 0.500 0.000
Re 0.500 0.000 0.000
Re 0.000 0.000 0.000
Re 0.773 0.773 0.500